(1)
First-principles (GGA-PBE) data for an optimized crystal structure of TbTlAgTe3, as listed in Alexandria via LeMat-Bulk.

Summary:
size of the total moment	0.0000	μB/atom
energy relative to the elements, uncorrected	-0.679	eV per atom

```
data_TbTlAgTe3
_chemical_formula_sum 'Tb4 Tl4 Ag4 Te12'
_symmetry_space_group_name_H-M 'C m c m'
_symmetry_Int_Tables_number 63
_symmetry_space_group_name_Hall '-C 2c 2'
_cell_length_a 4.2560
_cell_length_b 15.6253
_cell_length_c 11.4775
_cell_angle_alpha 90.00
_cell_angle_beta 90.00
_cell_angle_gamma 90.00
loop_
_atom_site_label
_atom_site_fract_x
_atom_site_fract_y
_atom_site_fract_z
_atom_site_occupancy
Tb1 0.0000 0.0000 0.0000 1
Tl1 0.0000 0.2387 0.2500 1
Ag1 0.0000 0.4639 0.7500 1
Te1 0.0000 0.0816 0.7500 1
Te2 0.0000 0.3612 0.5502 1
```


(2)
First-principles (GGA-PBE) data for an optimized crystal structure of TbTlAgTe2, as listed in Alexandria via LeMat-Bulk.

Summary:
size of the total moment	0.0000	μB/atom
energy relative to the elements, uncorrected	-0.535	eV per atom

```
data_TbTlAgTe2
_chemical_formula_sum 'Tb2 Tl2 Ag2 Te4'
_symmetry_space_group_name_H-M 'P 1 2/c 1'
_symmetry_Int_Tables_number 13
_cell_length_a 8.1794
_cell_length_b 5.0756
_cell_length_c 8.3639
_cell_angle_alpha 90.00
_cell_angle_beta 99.46
_cell_angle_gamma 90.00
loop_
_symmetry_equiv_pos_as_xyz
'x,y,z'
'-x,-y,-z'
'-x,y,-z+1/2'
'x,-y,z+1/2'
loop_
_atom_site_label
_atom_site_fract_x
_atom_site_fract_y
_atom_site_fract_z
_atom_site_occupancy
Tb1 0.0000 0.0049 0.2500 1
Tl1 0.5000 0.3580 0.7500 1
Ag1 0.0000 0.5000 0.0000 1
Te1 0.2611 0.1332 0.0403 1
```


(3)
First-principles (GGA-PBE) data for an optimized crystal structure of Tb2Tl3AgTe6, as listed in Alexandria via LeMat-Bulk.

Summary:
size of the total moment	0.0000	μB/atom
energy relative to the elements, uncorrected	-0.679	eV per atom

```
data_Tb2Tl3AgTe6
_chemical_formula_sum 'Tb4 Tl6 Ag2 Te12'
_symmetry_space_group_name_H-M 'C 1 2/m 1'
_symmetry_Int_Tables_number 12
_cell_length_a 7.6760
_cell_length_b 13.3541
_cell_length_c 8.1934
_cell_angle_alpha 90.00
_cell_angle_beta 108.17
_cell_angle_gamma 90.00
loop_
_symmetry_equiv_pos_as_xyz
'x,y,z'
'-x,-y,-z'
'-x,y,-z'
'x,-y,z'
'x+1/2,y+1/2,z'
'-x+1/2,-y+1/2,-z'
'-x+1/2,y+1/2,-z'
'x+1/2,-y+1/2,z'
loop_
_atom_site_label
_atom_site_fract_x
_atom_site_fract_y
_atom_site_fract_z
_atom_site_occupancy
Tb1 0.0000 0.1636 0.0000 1
Tl1 0.0000 0.0000 0.5000 1
Tl2 0.0000 0.3202 0.5000 1
Ag1 0.0000 0.5000 0.0000 1
Te1 0.2322 0.3364 0.2150 1
Te2 0.2451 0.0000 0.2288 1
```


(4)
First-principles (GGA-PBE) data for an optimized crystal structure of TbTm2Ag3Te6, as listed in Alexandria via LeMat-Bulk.

Summary:
size of the total moment	0.0000	μB/atom
energy relative to the elements, uncorrected	-0.818	eV per atom

```
data_TbTm2Ag3Te6
_chemical_formula_sum 'Tb2 Tm4 Ag6 Te12'
_symmetry_space_group_name_H-M 'C 1 2/m 1'
_symmetry_Int_Tables_number 12
_cell_length_a 7.5900
_cell_length_b 13.1475
_cell_length_c 7.4525
_cell_angle_alpha 90.00
_cell_angle_beta 109.81
_cell_angle_gamma 90.00
loop_
_symmetry_equiv_pos_as_xyz
'x,y,z'
'-x,-y,-z'
'-x,y,-z'
'x,-y,z'
'x+1/2,y+1/2,z'
'-x+1/2,-y+1/2,-z'
'-x+1/2,y+1/2,-z'
'x+1/2,-y+1/2,z'
loop_
_atom_site_label
_atom_site_fract_x
_atom_site_fract_y
_atom_site_fract_z
_atom_site_occupancy
Tb1 0.0000 0.0000 0.0000 1
Tm1 0.0000 0.3332 0.0000 1
Ag1 0.0000 0.1654 0.5000 1
Ag2 0.0000 0.5000 0.5000 1
Te1 0.2465 0.5000 0.2526 1
Te2 0.2475 0.3313 0.7484 1
```


(5)
First-principles (GGA-PBE) data for an optimized crystal structure of Tb2TmAg3Te6, as listed in Alexandria via LeMat-Bulk.

Summary:
size of the total moment	0.0000	μB/atom
energy relative to the elements, uncorrected	-0.838	eV per atom

```
data_Tb2TmAg3Te6
_chemical_formula_sum 'Tb4 Tm2 Ag6 Te12'
_symmetry_space_group_name_H-M 'C 1 2/m 1'
_symmetry_Int_Tables_number 12
_cell_length_a 19.8108
_cell_length_b 4.3774
_cell_length_c 8.4686
_cell_angle_alpha 90.00
_cell_angle_beta 103.38
_cell_angle_gamma 90.00
loop_
_symmetry_equiv_pos_as_xyz
'x,y,z'
'-x,-y,-z'
'-x,y,-z'
'x,-y,z'
'x+1/2,y+1/2,z'
'-x+1/2,-y+1/2,-z'
'-x+1/2,y+1/2,-z'
'x+1/2,-y+1/2,z'
loop_
_atom_site_label
_atom_site_fract_x
_atom_site_fract_y
_atom_site_fract_z
_atom_site_occupancy
Tb1 0.1733 0.0000 0.3064 1
Tm1 0.0000 0.5000 0.0000 1
Ag1 0.0000 0.5000 0.5000 1
Ag2 0.2046 0.0000 0.7810 1
Te1 0.0127 0.0000 0.2576 1
Te2 0.1579 0.5000 0.0380 1
Te3 0.1630 0.5000 0.5666 1
```


(6)
First-principles (GGA-PBE) data for an optimized crystal structure of Tb2TmAgTe5, as listed in Alexandria via LeMat-Bulk.

Summary:
size of the total moment	0.0000	μB/atom
energy relative to the elements, uncorrected	-1.098	eV per atom

```
data_Tb2TmAgTe5
_chemical_formula_sum 'Tb8 Tm4 Ag4 Te20'
_symmetry_space_group_name_H-M 'C m c 21'
_symmetry_Int_Tables_number 36
_cell_length_a 4.3145
_cell_length_b 18.5767
_cell_length_c 13.2354
_cell_angle_alpha 90.00
_cell_angle_beta 90.00
_cell_angle_gamma 90.00
loop_
_symmetry_equiv_pos_as_xyz
'x,y,z'
'-x,-y,z+1/2'
'-x,y,z'
'x,-y,z+1/2'
'x+1/2,y+1/2,z'
'-x+1/2,-y+1/2,z+1/2'
'-x+1/2,y+1/2,z'
'x+1/2,-y+1/2,z+1/2'
loop_
_atom_site_label
_atom_site_fract_x
_atom_site_fract_y
_atom_site_fract_z
_atom_site_occupancy
Tb1 0.0000 0.1115 0.0000 1
Tb2 0.0000 0.1263 0.6160 1
Tm1 0.0000 0.1913 0.3229 1
Ag1 0.0000 0.4315 0.7759 1
Te1 0.0000 0.0414 0.3950 1
Te2 0.0000 0.2856 0.9820 1
Te3 0.0000 0.3054 0.6536 1
Te4 0.0000 0.3563 0.3132 1
Te5 0.0000 0.4982 0.0948 1
```


(7)
First-principles (GGA-PBE) data for an optimized crystal structure of Tb2ThAg, as listed in Alexandria via LeMat-Bulk.

Summary:
calculated formation energy	-0.14	eV per atom
size of the total moment	0.0000	μB/atom

```
data_Tb2ThAg
_chemical_formula_sum 'Tb2 Th1 Ag1'
_symmetry_space_group_name_H-M 'P 4/m m m'
_symmetry_Int_Tables_number 123
_symmetry_space_group_name_Hall '-P 4 2'
_cell_length_a 3.6368
_cell_length_b 3.6368
_cell_length_c 8.4420
_cell_angle_alpha 90.00
_cell_angle_beta 90.00
_cell_angle_gamma 90.00
loop_
_atom_site_label
_atom_site_fract_x
_atom_site_fract_y
_atom_site_fract_z
_atom_site_occupancy
Tb1 0.0000 0.0000 0.2178 1
Th1 0.5000 0.5000 0.5000 1
Ag1 0.5000 0.5000 0.0000 1
```


(8)
First-principles (GGA-PBE) data for an optimized crystal structure of Tb2ThAg, as listed in Alexandria via LeMat-Bulk.

Summary:
calculated formation energy	-0.02	eV per atom
size of the total moment	0.0000	μB/atom

```
data_Tb2ThAg
_chemical_formula_sum 'Tb6 Th3 Ag3'
_symmetry_space_group_name_H-M 'R -3 m'
_symmetry_Int_Tables_number 166
_symmetry_space_group_name_Hall '-R 3 2"'
_cell_length_a 3.5737
_cell_length_b 3.5737
_cell_length_c 31.2742
_cell_angle_alpha 90.00
_cell_angle_beta 90.00
_cell_angle_gamma 120.00
loop_
_atom_site_label
_atom_site_fract_x
_atom_site_fract_y
_atom_site_fract_z
_atom_site_occupancy
Tb1 0.0000 0.0000 0.2423 1
Th1 0.0000 0.0000 0.0000 1
Ag1 0.0000 0.0000 0.5000 1
```